# YTaHg2 GGA-PBE optimized geometry
# E above lowest polymorph (meV per atom): 153
# ΔE_f (eV/atom): 0.24
data_YTaHg2
_chemical_formula_sum 'Y2 Ta2 Hg4'
_symmetry_space_group_name_H-M 'I -4 m 2'
_symmetry_Int_Tables_number 119
_symmetry_space_group_name_Hall 'I -4 -2'
_cell_length_a 4.281
_cell_length_b 4.281
_cell_length_c 9.781
_cell_angle_alpha 90.00
_cell_angle_beta 90.00
_cell_angle_gamma 90.00
loop_
_atom_site_label
_atom_site_type_symbol
_atom_site_fract_x
_atom_site_fract_y
_atom_site_fract_z
Y1 Y 0.000 0.000 0.000
Ta1 Ta 0.000 0.500 0.250
Hg1 Hg 0.000 0.000 0.500
Hg2 Hg 0.000 0.500 0.750